(1)
SrCuH3 meta-GGA SCAN PBEsol geometry; total energy = -49.69 eV for the cell shown
1.0
-0.4965 -2.0463 -3.0406
1.4670 -2.9227 1.7274
-3.3586 -0.9742 1.2040
Cu H Sr
1 3 1
direct
0.0000 0.0000 0.0000
0.0000 0.0000 0.5000
0.5000 0.0000 0.0000
0.0000 0.5000 0.0000
0.5000 0.5000 0.5000


(2)
Ta3CuH meta-GGA SCAN PBEsol geometry; total energy = -218.02 eV for the cell shown
1.0
-2.5924 -2.6980 1.5860
-1.0482 -1.1920 -3.7411
2.9489 -2.7955 0.0645
H Ta Cu
1 3 1
direct
0.0000 0.0000 0.0000
0.5000 0.0000 0.0000
0.0000 0.5000 0.0000
0.0000 0.0000 0.5000
0.5000 0.5000 0.5000


(3)
CuTcH3 meta-GGA SCAN PBEsol geometry; total energy = -58.60 eV for the cell shown
1.0
-0.0352 -3.3292 0.4562
3.0550 -0.2217 -1.3824
1.3996 0.4002 3.0289
H Cu Tc
3 1 1
direct
0.5000 0.0000 0.0000
0.0000 0.0000 0.5000
0.0000 0.5000 0.0000
0.5000 0.5000 0.5000
0.0000 0.0000 0.0000


(4)
CuTc2HW meta-GGA SCAN PBEsol geometry; total energy = -145.32 eV for the cell shown
1.0
4.3924 0.0000 0.0000
0.0000 4.3924 0.0000
0.0000 0.0000 4.4299
Tc Cu H W
2 1 1 1
direct
0.5000 0.0000 0.0000
0.0000 0.5000 0.0000
0.0000 0.0000 0.0000
0.5000 0.5000 0.5000
0.0000 0.0000 0.5000